# 1
The following is a DFT calculation (GGA-PBE) of an optimized crystal structure of Fe2HgMo.

Cell and atoms, written as CIF:
```
data_Fe2HgMo
_chemical_formula_sum 'Fe4 Hg2 Mo2'
_cell_length_a 3.377
_cell_length_b 4.306
_cell_length_c 8.364
_cell_angle_alpha 90.00
_cell_angle_beta 90.00
_cell_angle_gamma 90.00
_space_group_name_H-M_alt 'C m m 2'
_space_group_IT_number 35
loop_
_space_group_symop_operation_xyz
'x,y,z'
'-x,-y,z'
'-x,y,z'
'x,-y,z'
'x+1/2,y+1/2,z'
'-x+1/2,-y+1/2,z'
'-x+1/2,y+1/2,z'
'x+1/2,-y+1/2,z'
loop_
_atom_site_label
_atom_site_type_symbol
_atom_site_fract_x
_atom_site_fract_y
_atom_site_fract_z
_atom_site_occupancy
Fe1 Fe 0.000 0.000 0.000 1
Fe2 Fe 0.000 0.500 0.206 1
Hg1 Hg 0.000 0.000 0.475 1
Mo1 Mo 0.000 0.500 0.770 1
```

Values from the calculation:
DFT formation energy, eV/atom: 0.3915

***

# 2
The following is a DFT calculation (GGA-PBE) of an optimized crystal structure of CsMn2AuBr8.

Cell and atoms, written as CIF:
```
data_CsMn2AuBr8
_chemical_formula_sum 'Cs1 Mn2 Au1 Br8'
_cell_length_a 6.9595
_cell_length_b 6.9595
_cell_length_c 10.0364
_cell_angle_alpha 90.00
_cell_angle_beta 90.00
_cell_angle_gamma 120.00
_space_group_name_H-M_alt 'P -3'
_space_group_IT_number 147
loop_
_space_group_symop_operation_xyz
'x,y,z'
'-x,-y,-z'
'-y,x-y,z'
'y,-x+y,-z'
'-x+y,-x,z'
'x-y,x,-z'
loop_
_atom_site_label
_atom_site_type_symbol
_atom_site_fract_x
_atom_site_fract_y
_atom_site_fract_z
_atom_site_occupancy
Cs1 Cs 0.0000 0.0000 0.0000 1
Mn1 Mn 0.3333 0.6667 0.7308 1
Au1 Au 0.0000 0.0000 0.5000 1
Br1 Br 0.0089 0.3190 0.6637 1
Br2 Br 0.3333 0.6667 0.9689 1
```

Values from the calculation:
Uncorrected formation energy, eV/f.u.: -8.65

***

# 3
The following is a DFT calculation (GGA-PBE) of an optimized crystal structure of Mg2InCu.

Cell and atoms, written as CIF:
```
data_Mg2InCu
_chemical_formula_sum 'Mg4 In2 Cu2'
_cell_length_a 4.268
_cell_length_b 4.268
_cell_length_c 8.525
_cell_angle_alpha 90.00
_cell_angle_beta 90.00
_cell_angle_gamma 90.00
_space_group_name_H-M_alt 'I -4 m 2'
_space_group_IT_number 119
_space_group_name_Hall 'I -4 -2'
loop_
_atom_site_label
_atom_site_type_symbol
_atom_site_fract_x
_atom_site_fract_y
_atom_site_fract_z
_atom_site_occupancy
Mg1 Mg 0.000 0.000 0.000 1
Mg2 Mg 0.000 0.500 0.250 1
In1 In 0.000 0.000 0.500 1
Cu1 Cu 0.000 0.500 0.750 1
```

Values from the calculation:
DFT formation energy, eV/atom: -0.0059

***

# 4
The following is a DFT calculation (GGA-PBE) of an optimized crystal structure of ErScRh4.

Cell and atoms, written as CIF:
```
data_ErScRh4
_chemical_formula_sum 'Er4 Sc4 Rh16'
_cell_length_a 7.438
_cell_length_b 7.438
_cell_length_c 7.438
_cell_angle_alpha 90.00
_cell_angle_beta 90.00
_cell_angle_gamma 90.00
_space_group_name_H-M_alt 'F -4 3 m'
_space_group_IT_number 216
_space_group_name_Hall 'F -4 2 3'
loop_
_atom_site_label
_atom_site_type_symbol
_atom_site_fract_x
_atom_site_fract_y
_atom_site_fract_z
_atom_site_occupancy
Er1 Er 0.000 0.000 0.000 1
Sc1 Sc 0.250 0.250 0.250 1
Rh1 Rh 0.125 0.125 0.625 1
```

Values from the calculation:
Relative energy among the computed polymorphs, eV per atom: 0.000
DFT formation energy, eV/atom: -0.7221